Material: BaCa3Pd
Method: DFT, PBE
State: relaxed

Cell lengths 5.6860, 5.6860, 5.6860 Å; angles 90.00, 90.00, 90.00 degrees
Space group Pm-3m (No. 221)
One atom of each set of equivalent atoms:
Ba (0.0000, 0.0000, 0.0000) [1 per cell]
Ca (0.0000, 0.0000, 0.5000) [3 per cell]
Pd (0.5000, 0.5000, 0.5000) [1 per cell]

Excess energy over the best structure of this formula in the dataset   7.74 eV/f.u.
Calculated volume   184 Å³/cell
E_tot   -0.0510 hartree per atom

***

Material: Cs2DyPu2Se6
Method: DFT, PBE
State: relaxed

Cell lengths 7.2946, 12.6397, 8.8835 Å; angles 90.00, 105.71, 90.00 degrees
Space group C2/m (No. 12)
One atom of each set of equivalent atoms:
Cs (0.0000, 0.1657, 0.0000) [4 per cell]
Dy (0.0000, 0.0000, 0.5000) [2 per cell]
Pu (0.0000, 0.3336, 0.5000) [4 per cell]
Se (0.2244, 0.5000, 0.6804) [4 per cell]
Se (0.2270, 0.1679, 0.6804) [8 per cell]

Uncorrected formation energy   -16.80 eV/f.u.
Calculated volume   788 Å³/cell
E_tot   -0.2428 hartree per atom

***

> What is the E_tot in the first record?

-0.0510 hartree per atom

***

> Which of these has the highest calculated volume?

Cs2DyPu2Se6